Density functional theory data (GGA-PBE) for a relaxed SrMnN2 crystal.

a b c (Å): 4.0522 4.0522 4.0522
angles (deg): 60.00 60.00 60.00
Last column: nearest neighbours and their distance in Å.
Element x y z (fractional)
N 0.7500 0.7500 0.7500  4 Mn 2.48, 4 Sr 2.48
Mn 0.0000 0.0000 0.0000  8 N 2.48
Sr 0.5000 0.5000 0.5000  8 N 2.48
N 0.2500 0.2500 0.2500  4 Mn 2.48, 4 Sr 2.48

Results
N(E_F), states/eV/cell: 9.0
Space-group type: No. 225
Total moment, μB/f.u.: 0.4
VASP energy, eV per cell: -23.8



Density functional theory data (GGA-PBE) for a relaxed BaMgTc crystal.

a b c (Å): 5.2601 5.2601 3.1164
angles (deg): 90.00 90.00 120.00
Last column: nearest neighbours and their distance in Å.
Element x y z (fractional)
Mg 0.6667 0.3333 0.5050  3 Tc 3.04, 2 Mg 3.12
Tc 0.3333 0.6667 0.4952  3 Mg 3.04, 2 Tc 3.12
Ba 0.0000 0.0000 0.9998  2 Ba 3.12, 6 Mg 3.41-3.42, 6 Tc 3.41-3.42

Results
Relative energy among the computed polymorphs, meV/atom: 172
N(E_F), states/eV/cell: 3.1
Space-group type: No. 156
Total moment, μB/f.u.: 0.0
ΔH_f (0 K), eV per atom: 0.851



Density functional theory data (GGA-PBE) for a relaxed P3HF crystal.

a b c (Å): 3.8777 3.8777 3.8777
angles (deg): 90.00 90.00 90.00
Last column: nearest neighbours and their distance in Å.
Element x y z (fractional)
P 0.0000 0.0000 0.5000  2 H 1.94
P 0.5000 0.0000 0.0000  2 H 1.94
H 0.0000 0.0000 0.0000  6 P 1.94
P 0.0000 0.5000 0.0000  2 H 1.94
F 0.5000 0.5000 0.5000  12 P 2.74

Results
Relative energy among the computed polymorphs, meV/atom: 0
N(E_F), states/eV/cell: 2.2
Space-group type: No. 221
Total moment, μB/f.u.: 0.0



Density functional theory data (GGA-PBE) for a relaxed Sr3Ga2SiAu6 crystal.

a b c (Å): 6.5482 6.5482 8.1681
angles (deg): 90.00 90.00 120.00
Last column: nearest neighbours and their distance in Å.
Element x y z (fractional)
Au 0.1800 0.3601 0.3228  1 Si 2.50, 1 Ga 2.65
Au 0.6399 0.8200 0.3228  1 Si 2.50, 1 Ga 2.65
Ga 0.3333 0.6667 0.0783  3 Au 2.65
Au 0.8200 0.1800 0.6772  1 Si 2.50, 1 Ga 2.65
Si 0.0000 0.0000 0.5000  6 Au 2.50
Sr 0.0000 0.0000 0.0000  6 Au 3.33
Sr 0.3333 0.6667 0.6780  1 Ga 3.27, 9 Au 3.28-3.38
Au 0.8200 0.6399 0.6772  1 Si 2.50, 1 Ga 2.65
Au 0.3601 0.1800 0.6772  1 Si 2.50, 1 Ga 2.65
Ga 0.6667 0.3333 0.9217  3 Au 2.65
Sr 0.6667 0.3333 0.3220  1 Ga 3.27, 9 Au 3.28-3.38
Au 0.1800 0.8200 0.3228  1 Si 2.50, 1 Ga 2.65

Results
N(E_F), states/eV/cell: 5.9
Space-group type: No. 164
Total moment, μB/f.u.: 0.0
VASP energy, eV per cell: -42.1



Density functional theory data (GGA-PBE) for a relaxed Tb2UPaC4 crystal.

a b c (Å): 3.6238 6.1477 6.2620
angles (deg): 70.23 90.00 90.00
Last column: nearest neighbours and their distance in Å.
Element x y z (fractional)
C 0.0000 0.7149 0.7703  2 U 2.41, 1 Pa 2.47, 3 Tb 2.62-2.69
Tb 0.0000 0.0000 0.0000  6 C 2.62-2.63
C 0.5000 0.2813 0.7499  1 U 2.38, 2 Pa 2.47, 2 Tb 2.63
C 0.5000 0.7187 0.2501  1 U 2.38, 2 Pa 2.47, 2 Tb 2.63
C 0.0000 0.2851 0.2297  2 U 2.41, 1 Pa 2.47, 3 Tb 2.62-2.69
U 0.5000 0.5000 0.0000  6 C 2.38-2.41
Tb 0.5000 0.0000 0.5000  6 C 2.69-2.70
Pa 0.0000 0.5000 0.5000  6 C 2.47

Results
N(E_F), states/eV/cell: 4.2
Space-group type: No. 10
Total moment, μB/f.u.: 0.0
ΔH_f (0 K), eV per atom: -0.326



Density functional theory data (GGA-PBE) for a relaxed Tb5Nd4Y crystal.

a b c (Å): 6.0256 8.1434 8.1434
angles (deg): 82.13 68.29 68.29
Last column: nearest neighbours and their distance in Å.
Element x y z (fractional)
Tb 0.7606 0.3779 0.9999  3 Tb 3.26-3.53, 1 Y 3.28, 2 Nd 3.33
Tb 0.7605 0.0001 0.3779  3 Tb 3.26-3.53, 1 Y 3.28, 2 Nd 3.33
Y 0.2172 0.0000 0.0000  2 Tb 2.85-3.18
Tb 0.1385 0.9999 0.6221  3 Tb 3.26-3.53, 1 Y 3.28, 2 Nd 3.33
Nd 0.4512 0.6758 0.3242  2 Tb 3.33
Tb 0.1384 0.6221 0.0001  3 Tb 3.26-3.53, 1 Y 3.28, 2 Nd 3.33
Tb 0.6902 0.0000 0.0000  2 Y 2.85-3.18
Nd 0.1270 0.3242 0.3242  2 Tb 3.33
Nd 0.4512 0.3242 0.6758  2 Tb 3.33
Nd 0.7754 0.6758 0.6758  2 Tb 3.33

Results
Relative energy among the computed polymorphs, meV/atom: 17
N(E_F), states/eV/cell: 13.4
Space-group type: No. 107
Total moment, μB/f.u.: 0.0
ΔH_f (0 K), eV per atom: 0.241



Density functional theory data (GGA-PBE) for a relaxed TlCu2Ru crystal.

a b c (Å): 3.8410 3.8410 9.6873
angles (deg): 78.57 78.57 90.00
Last column: nearest neighbours and their distance in Å.
Element x y z (fractional)
Tl 0.7500 0.2500 0.5000  4 Ru 2.72, 4 Cu 2.75
Cu 0.5868 0.1250 0.2500  2 Cu 2.52, 2 Ru 2.64, 2 Tl 2.75
Cu 0.1632 0.6250 0.2500  2 Cu 2.52, 2 Ru 2.64, 2 Tl 2.75
Ru 0.2500 0.7500 0.5000  4 Cu 2.64, 4 Tl 2.72
Tl 0.0000 0.0000 0.0000  4 Ru 2.72, 4 Cu 2.75
Cu 0.8750 0.8368 0.7500  2 Cu 2.52, 2 Ru 2.64, 2 Tl 2.75
Ru 0.5000 0.5000 0.0000  4 Cu 2.64, 4 Tl 2.72
Cu 0.3750 0.4132 0.7500  2 Cu 2.52, 2 Ru 2.64, 2 Tl 2.75

Results
Relative energy among the computed polymorphs, meV/atom: 318
N(E_F), states/eV/cell: 4.6
Space-group type: No. 122
Total moment, μB/f.u.: 0.8
ΔH_f (0 K), eV per atom: 0.661



Density functional theory data (GGA-PBE) for a relaxed Ac6TlSe4 crystal.

a b c (Å): 4.4924 7.7292 22.9955
angles (deg): 90.00 90.00 106.89
Last column: nearest neighbours and their distance in Å.
Element x y z (fractional)
Ac 0.9535 0.9070 0.8379  3 Se 3.17-3.18, 2 Tl 3.48
Ac 0.5000 0.0000 0.5000  6 Se 3.13-3.16
Se 0.1380 0.2760 0.0376  6 Ac 3.16-3.17
Se 0.8620 0.7240 0.5376  6 Ac 3.16-3.17
Se 0.4074 0.8149 0.1223  6 Ac 3.12-3.18
Ac 0.6638 0.3276 0.7500  2 Se 3.12, 2 Tl 3.40
Se 0.5926 0.1851 0.8777  6 Ac 3.12-3.18
Ac 0.3362 0.6724 0.2500  2 Se 3.12, 2 Tl 3.40
Ac 0.9535 0.9070 0.6621  3 Se 3.17-3.18, 2 Tl 3.48
Se 0.1380 0.2760 0.4624  6 Ac 3.16-3.17
Se 0.4074 0.8149 0.3777  6 Ac 3.12-3.18
Ac 0.7690 0.5380 0.0861  5 Se 3.15-3.17
Ac 0.2310 0.4620 0.9139  5 Se 3.15-3.17
Ac 0.2310 0.4620 0.5861  5 Se 3.15-3.17
Ac 0.0465 0.0930 0.1621  3 Se 3.17-3.18, 2 Tl 3.48
Ac 0.5000 0.0000 0.0000  6 Se 3.13-3.16
Tl 0.6633 0.3266 0.2500  6 Ac 3.40-3.48
Ac 0.7690 0.5380 0.4139  5 Se 3.15-3.17
Tl 0.3367 0.6734 0.7500  6 Ac 3.40-3.48
Ac 0.0465 0.0930 0.3379  3 Se 3.17-3.18, 2 Tl 3.48
Se 0.5926 0.1851 0.6223  6 Ac 3.12-3.18
Se 0.8620 0.7240 0.9624  6 Ac 3.16-3.17

Results
N(E_F), states/eV/cell: 17.0
Space-group type: No. 63
Total moment, μB/f.u.: 0.8
VASP energy, eV per cell: -112.8



Density functional theory data (GGA-PBE) for a relaxed PrNd3Mg crystal.

a b c (Å): 3.8114 6.9301 13.1978
angles (deg): 87.42 90.02 74.05
Last column: nearest neighbours and their distance in Å.
Element x y z (fractional)
Nd 0.9602 0.0798 0.8113  2 Mg 3.40, 5 Nd 3.60-3.70, 3 Pr 3.67-3.69
Pr 0.7709 0.4573 0.2459  2 Mg 3.39, 7 Nd 3.67-3.72
Nd 0.8518 0.2969 0.5563  4 Mg 3.35-3.40, 3 Nd 3.58-3.60, 2 Pr 3.68
Mg 0.4448 0.1099 0.3748  6 Nd 3.35-3.40, 2 Pr 3.39, 1 Mg 3.55
Nd 0.0398 0.9202 0.1887  2 Mg 3.40, 5 Nd 3.60-3.70, 3 Pr 3.67-3.69
Nd 0.1482 0.7031 0.4437  4 Mg 3.35-3.40, 3 Nd 3.58-3.60, 2 Pr 3.68
Mg 0.5552 0.8901 0.6252  6 Nd 3.35-3.40, 2 Pr 3.39, 1 Mg 3.55
Nd 0.3653 0.2683 0.0275  9 Nd 3.62-3.81, 3 Pr 3.72-3.97
Nd 0.6347 0.7317 0.9725  9 Nd 3.62-3.81, 3 Pr 3.72-3.97
Pr 0.2291 0.5427 0.7541  2 Mg 3.39, 7 Nd 3.67-3.72

Results
Relative energy among the computed polymorphs, meV/atom: 0
N(E_F), states/eV/cell: 13.6
Space-group type: No. 2
Total moment, μB/f.u.: 0.0
ΔH_f (0 K), eV per atom: -0.017



Density functional theory data (GGA-PBE) for a relaxed TeWBr2 crystal.

a b c (Å): 3.3652 3.3652 11.9621
angles (deg): 90.00 90.00 124.93
Last column: nearest neighbours and their distance in Å.
Element x y z (fractional)
Te 0.5000 0.5000 0.2500  6 Te 3.11-3.37
W 0.5000 0.5000 0.7500  4 Br 2.58
Br 0.0000 0.0000 0.9218  2 W 2.58
Br 0.0000 0.0000 0.5782  2 W 2.58

Results
Relative energy among the computed polymorphs, meV/atom: 488
N(E_F), states/eV/cell: 3.5
Space-group type: No. 65
Total moment, μB/f.u.: 1.1



Density functional theory data (GGA-PBE) for a relaxed ZnNiP2 crystal.

a b c (Å): 4.2660 4.2660 4.2660
angles (deg): 60.00 60.00 60.00
Last column: nearest neighbours and their distance in Å.
Element x y z (fractional)
Ni 0.5000 0.5000 0.5000  4 P 2.61, 4 Zn 2.61
P 0.2500 0.2500 0.2500  4 Ni 2.61, 4 P 2.61
P 0.0000 0.0000 0.0000  4 Zn 2.61, 4 P 2.61
Zn 0.7500 0.7500 0.7500  4 Ni 2.61, 4 P 2.61

Results
N(E_F), states/eV/cell: 2.1
Space-group type: No. 216
Total moment, μB/f.u.: 0.0
ΔH_f (0 K), eV per atom: 0.401



Density functional theory data (GGA-PBE) for a relaxed Sc5TlPd crystal.

a b c (Å): 5.9995 5.9995 9.2335
angles (deg): 87.05 87.05 91.95
Last column: nearest neighbours and their distance in Å.
Element x y z (fractional)
Sc 0.7797 0.5982 0.4955  1 Pd 2.71, 2 Tl 2.91, 1 Sc 2.93
Sc 0.9356 0.3847 0.8415  1 Pd 2.72
Sc 0.6153 0.0644 0.6585  1 Pd 2.72
Sc 0.1347 0.8653 0.7500  2 Pd 2.58
Tl 0.4728 0.5272 0.7500  7 Sc 2.91-3.08
Sc 0.8653 0.1347 0.2500  2 Pd 2.58
Sc 0.5982 0.7797 0.9955  1 Pd 2.71, 2 Tl 2.91, 1 Sc 2.93
Pd 0.0000 0.0000 0.0000  6 Sc 2.58-2.72
Tl 0.5272 0.4728 0.2500  7 Sc 2.91-3.08
Pd 0.0000 0.0000 0.5000  6 Sc 2.58-2.72
Sc 0.4018 0.2203 0.0045  1 Pd 2.71, 2 Tl 2.91, 1 Sc 2.93
Sc 0.2203 0.4018 0.5045  1 Pd 2.71, 2 Tl 2.91, 1 Sc 2.93
Sc 0.3847 0.9356 0.3415  1 Pd 2.72
Sc 0.0644 0.6153 0.1585  1 Pd 2.72

Results
N(E_F), states/eV/cell: 15.3
Space-group type: No. 15
Total moment, μB/f.u.: 0.0
ΔH_f (0 K), eV per atom: -0.212



Density functional theory data (GGA-PBE) for a relaxed As2HPd crystal.

a b c (Å): 3.9614 3.9614 6.1428
angles (deg): 71.19 71.19 60.00
Last column: nearest neighbours and their distance in Å.
Element x y z (fractional)
Pd 0.5000 0.5000 0.5000  6 As 2.53
As 0.8962 0.8962 0.3115  1 H 1.78
As 0.1038 0.1038 0.6885  1 H 1.78
H 0.0000 0.0000 0.0000  2 As 1.78

Results
Relative energy among the computed polymorphs, meV/atom: 0
N(E_F), states/eV/cell: 1.3
Space-group type: No. 166
Total moment, μB/f.u.: 0.0



Density functional theory data (GGA-PBE) for a relaxed Os2RuBr crystal.

a b c (Å): 4.7304 4.7304 4.7304
angles (deg): 129.69 129.69 73.90
Last column: nearest neighbours and their distance in Å.
Element x y z (fractional)
Os 0.5000 0.5000 0.0000  4 Ru 2.76, 4 Br 2.76, 4 Os 2.84
Br 0.7500 0.2500 0.5000  8 Os 2.76, 4 Ru 2.84
Os 0.0000 0.0000 0.0000  4 Br 2.76, 4 Ru 2.76, 4 Os 2.84
Ru 0.2500 0.7500 0.5000  8 Os 2.76, 4 Br 2.84

Results
Relative energy among the computed polymorphs, meV/atom: 641
N(E_F), states/eV/cell: 4.0
Space-group type: No. 139
Total moment, μB/f.u.: 0.0



Density functional theory data (GGA-PBE) for a relaxed SrMn2PdS4 crystal.

a b c (Å): 3.8160 6.5887 12.8197
angles (deg): 90.00 90.00 106.83
Last column: nearest neighbours and their distance in Å.
Element x y z (fractional)
Pd 0.8496 0.6991 0.7500  4 S 2.33-2.40
S 0.7354 0.4708 0.5998  1 Pd 2.40, 3 Mn 2.51-2.60
S 0.2646 0.5292 0.0998  1 Pd 2.40, 3 Mn 2.51-2.60
Mn 0.6287 0.2574 0.4348  6 S 2.51-2.64
Mn 0.3713 0.7426 0.5652  6 S 2.51-2.64
S 0.7354 0.4708 0.9002  1 Pd 2.40, 3 Mn 2.51-2.60
S 0.0000 0.0000 0.0000  4 Mn 2.64
Pd 0.1504 0.3009 0.2500  4 S 2.33-2.40
S 0.0000 0.0000 0.5000  4 Mn 2.64
Sr 0.8739 0.7478 0.2500  6 S 2.88-3.04
S 0.4554 0.9108 0.7500  2 Pd 2.33, 2 Mn 2.60
Mn 0.6287 0.2574 0.0652  6 S 2.51-2.64
Mn 0.3713 0.7426 0.9348  6 S 2.51-2.64
S 0.5446 0.0892 0.2500  2 Pd 2.33, 2 Mn 2.60
Sr 0.1261 0.2522 0.7500  6 S 2.88-3.04
S 0.2646 0.5292 0.4002  1 Pd 2.40, 3 Mn 2.51-2.60

Results
N(E_F), states/eV/cell: 5.7
Space-group type: No. 63
Total moment, μB/f.u.: 8.1
VASP energy, eV per cell: -95.4



Density functional theory data (GGA-PBE) for a relaxed ScBiIO2 crystal.

a b c (Å): 4.3069 4.3069 5.6283
angles (deg): 90.00 90.00 90.00
Last column: nearest neighbours and their distance in Å.
Element x y z (fractional)
O 0.0000 0.5000 0.0000  2 Sc 2.15
Sc 0.0000 0.0000 0.0000  4 O 2.15
I 0.0000 0.0000 0.5000  2 Sc 2.81, 4 Bi 3.05
Bi 0.5000 0.5000 0.5000  4 I 3.05
O 0.5000 0.0000 0.0000  2 Sc 2.15

Results
N(E_F), states/eV/cell: 2.4
Space-group type: No. 123
Total moment, μB/f.u.: 0.0
VASP energy, eV per cell: -26.8



Density functional theory data (GGA-PBE) for a relaxed ZnAsSe2Br crystal.

a b c (Å): 5.0986 5.0986 5.2018
angles (deg): 90.00 90.00 90.00
Last column: nearest neighbours and their distance in Å.
Element x y z (fractional)
Se 0.0000 0.5000 0.0000  2 As 2.55
Br 0.0000 0.0000 0.5000  2 As 2.60
Zn 0.5000 0.5000 0.5000  4 Br 3.61, 8 Se 3.64
Se 0.5000 0.0000 0.0000  2 As 2.55
As 0.0000 0.0000 0.0000  4 Se 2.55, 2 Br 2.60

Results
Relative energy among the computed polymorphs, meV/atom: 0
N(E_F), states/eV/cell: 3.9
Space-group type: No. 123
Total moment, μB/f.u.: 0.0



Density functional theory data (GGA-PBE) for a relaxed TaNi9Ge2 crystal.

a b c (Å): 3.6176 3.6176 10.7928
angles (deg): 90.00 90.00 90.00
Last column: nearest neighbours and their distance in Å.
Element x y z (fractional)
Ni 0.0000 0.5000 0.8301  8 Ni 2.54-2.58, 2 Ge 2.57, 2 Ta 2.58
Ni 0.5000 0.5000 0.6650  8 Ni 2.54, 4 Ge 2.56
Ge 0.0000 0.0000 0.3391  12 Ni 2.51-2.57
Ni 0.5000 0.0000 0.8301  8 Ni 2.54-2.58, 2 Ge 2.57, 2 Ta 2.58
Ni 0.5000 0.0000 0.1699  8 Ni 2.54-2.58, 2 Ge 2.57, 2 Ta 2.58
Ni 0.5000 0.0000 0.5000  4 Ge 2.51, 8 Ni 2.54-2.56
Ni 0.5000 0.5000 0.0000  4 Ta 2.56, 8 Ni 2.58
Ge 0.0000 0.0000 0.6609  12 Ni 2.51-2.57
Ta 0.0000 0.0000 0.0000  12 Ni 2.56-2.58
Ni 0.0000 0.5000 0.5000  4 Ge 2.51, 8 Ni 2.54-2.56
Ni 0.0000 0.5000 0.1699  8 Ni 2.54-2.58, 2 Ge 2.57, 2 Ta 2.58
Ni 0.5000 0.5000 0.3350  8 Ni 2.54, 4 Ge 2.56

Results
N(E_F), states/eV/cell: 3.2
Space-group type: No. 123
Total moment, μB/f.u.: 0.0
ΔH_f (0 K), eV per atom: -0.312



Density functional theory data (GGA-PBE) for a relaxed ErThOsRh crystal.

a b c (Å): 4.9285 4.9285 4.9285
angles (deg): 60.00 60.00 60.00
Last column: nearest neighbours and their distance in Å.
Element x y z (fractional)
Rh 0.7500 0.7500 0.7500  4 Th 3.02, 4 Er 3.02
Er 0.0000 0.0000 0.0000  4 Os 3.02, 4 Rh 3.02
Th 0.5000 0.5000 0.5000  4 Rh 3.02, 4 Os 3.02
Os 0.2500 0.2500 0.2500  4 Th 3.02, 4 Er 3.02

Results
N(E_F), states/eV/cell: 1.5
Space-group type: No. 216
Total moment, μB/f.u.: 0.0
ΔH_f (0 K), eV per atom: -0.554



Density functional theory data (GGA-PBE) for a relaxed PrMg8Sb6 crystal.

a b c (Å): 8.1387 8.1387 8.6543
angles (deg): 61.95 61.95 60.00
Last column: nearest neighbours and their distance in Å.
Element x y z (fractional)
Pr 0.0000 0.0000 0.0000  6 Sb 3.25
Mg 0.3334 0.3334 0.9997  6 Sb 3.15-3.17
Sb 0.5806 0.9251 0.2306  6 Mg 2.85-3.17
Mg 0.8767 0.5515 0.3629  4 Sb 2.85-2.95
Mg 0.4485 0.7910 0.6371  4 Sb 2.85-2.95
Mg 0.1233 0.4485 0.6371  4 Sb 2.85-2.95
Sb 0.2637 0.5806 0.2306  6 Mg 2.85-3.17
Sb 0.7363 0.4194 0.7694  6 Mg 2.85-3.17
Mg 0.6666 0.6666 0.0003  6 Sb 3.15-3.17
Mg 0.5515 0.2090 0.3629  4 Sb 2.85-2.95
Sb 0.9251 0.2637 0.2306  6 Mg 2.85-3.17
Sb 0.4194 0.0749 0.7694  6 Mg 2.85-3.17
Mg 0.7910 0.1233 0.6371  4 Sb 2.85-2.95
Mg 0.2090 0.8767 0.3629  4 Sb 2.85-2.95
Sb 0.0749 0.7363 0.7694  6 Mg 2.85-3.17

Results
N(E_F), states/eV/cell: 3.9
Space-group type: No. 148
Total moment, μB/f.u.: 0.0
VASP energy, eV per cell: -49.2